DFT (PBE) results for crystalline NaLiCaTa2 at its relaxed geometry.

Structure (POSCAR):
```
NaLiCaTa2
1.0
4.5820 0.0000 0.0000
0.0000 5.5310 0.0000
0.0000 0.0000 4.5820
Na Ta Ca Li
1 2 1 1
Direct
0.5000 0.5000 0.5000
0.0000 0.0000 0.5000
0.5000 0.0000 0.0000
0.0000 0.5000 0.0000
0.0000 0.0000 0.0000
```

Values from the calculation:
space group = P4/mmm (123)
V = 23.22 A^3/atom
uncorrected energy = -4.407 eV per atom
total magnetic moment = 0.314 μB/atom
DOS(E_F) = 4.592 states/eV per cell